[1]
The following is a DFT calculation (GGA-PBE) of a geometry-optimized CeTmHg structure.

Cell and atoms, written as CIF:
```
data_CeTmHg
_chemical_formula_sum 'Ce2 Tm2 Hg2'
_cell_length_a 3.5365
_cell_length_b 3.5365
_cell_length_c 13.3452
_cell_angle_alpha 90.00
_cell_angle_beta 90.00
_cell_angle_gamma 90.00
_symmetry_space_group_name_H-M 'I 4 m m'
_symmetry_Int_Tables_number 107
_symmetry_space_group_name_Hall 'I 4 -2'
loop_
_atom_site_label
_atom_site_type_symbol
_atom_site_fract_x
_atom_site_fract_y
_atom_site_fract_z
_atom_site_occupancy
Ce1 Ce 0.0000 0.0000 0.0000 1
Tm1 Tm 0.0000 0.0000 0.6888 1
Hg1 Hg 0.0000 0.0000 0.3312 1
```

Output
M_tot, μB/f.u.: 1.19
Fermi-level density of states, states/eV/cell: 14.21
ΔE to the lowest computed polymorph, kJ/mol of atoms: 0.00
E, eV/atom: -3.7784
Energy of formation from the pure elements, meV/atom: -209

***

[2]
The following is a DFT calculation (GGA-PBE) of a geometry-optimized BaAcSi structure.

Cell and atoms, written as CIF:
```
data_BaAcSi
_chemical_formula_sum 'Ba2 Ac2 Si2'
_cell_length_a 5.6467
_cell_length_b 5.6467
_cell_length_c 7.2590
_cell_angle_alpha 90.00
_cell_angle_beta 90.00
_cell_angle_gamma 120.00
_symmetry_space_group_name_H-M 'P 63/m m c'
_symmetry_Int_Tables_number 194
_symmetry_space_group_name_Hall '-P 6c 2c'
loop_
_atom_site_label
_atom_site_type_symbol
_atom_site_fract_x
_atom_site_fract_y
_atom_site_fract_z
_atom_site_occupancy
Ba1 Ba 0.0000 0.0000 0.0000 1
Ac1 Ac 0.3333 0.6667 0.2500 1
Si1 Si 0.3333 0.6667 0.7500 1
```

Output
M_tot, μB/f.u.: 0.00
Formation energy without anion corrections, meV per atom: -211
Fermi-level density of states, states/eV/cell: 4.92
ΔE to the lowest computed polymorph, kJ/mol of atoms: 10.72
E, eV/atom: -4.0293

***

[3]
The following is a DFT calculation (GGA-PBE) of a geometry-optimized La2Zn4CdPd3 structure.

Cell and atoms, written as CIF:
```
data_La2Zn4CdPd3
_chemical_formula_sum 'La2 Zn4 Cd1 Pd3'
_cell_length_a 4.1167
_cell_length_b 4.1167
_cell_length_c 12.0265
_cell_angle_alpha 90.00
_cell_angle_beta 90.00
_cell_angle_gamma 90.00
_symmetry_space_group_name_H-M 'P -4 m 2'
_symmetry_Int_Tables_number 115
loop_
_symmetry_equiv_pos_as_xyz
'x,y,z'
'y,-x,-z'
'-x,-y,z'
'-y,x,-z'
'-x,y,z'
'-y,-x,-z'
'x,-y,z'
'y,x,-z'
loop_
_atom_site_label
_atom_site_type_symbol
_atom_site_fract_x
_atom_site_fract_y
_atom_site_fract_z
_atom_site_occupancy
La1 La 0.0000 0.5000 0.2328 1
Zn1 Zn 0.0000 0.0000 0.0000 1
Zn2 Zn 0.0000 0.5000 0.6441 1
Zn3 Zn 0.5000 0.5000 0.0000 1
Cd1 Cd 0.0000 0.0000 0.5000 1
Pd1 Pd 0.0000 0.5000 0.8605 1
Pd2 Pd 0.5000 0.5000 0.5000 1
```

Output
M_tot, μB/f.u.: 0.00
Fermi-level density of states, states/eV/cell: 5.73
E, eV/atom: -3.6914
Energy of formation from the pure elements, meV/atom: -547

***

[4]
The following is a DFT calculation (GGA-PBE) of a geometry-optimized NdDySi structure.

Cell and atoms, written as CIF:
```
data_NdDySi
_chemical_formula_sum 'Nd4 Dy4 Si4'
_cell_length_a 11.5763
_cell_length_b 4.2617
_cell_length_c 8.2488
_cell_angle_alpha 90.00
_cell_angle_beta 126.97
_cell_angle_gamma 90.00
_symmetry_space_group_name_H-M 'C 1 2/m 1'
_symmetry_Int_Tables_number 12
loop_
_symmetry_equiv_pos_as_xyz
'x,y,z'
'-x,-y,-z'
'-x,y,-z'
'x,-y,z'
'x+1/2,y+1/2,z'
'-x+1/2,-y+1/2,-z'
'-x+1/2,y+1/2,-z'
'x+1/2,-y+1/2,z'
loop_
_atom_site_label
_atom_site_type_symbol
_atom_site_fract_x
_atom_site_fract_y
_atom_site_fract_z
_atom_site_occupancy
Nd1 Nd 0.0857 0.0000 0.3594 1
Dy1 Dy 0.1778 0.5000 0.0763 1
Si1 Si 0.1210 0.5000 0.6609 1
```

Output
M_tot, μB/f.u.: 0.11
Formation energy without anion corrections, meV per atom: -503
Fermi-level density of states, states/eV/cell: 13.60
ΔE to the lowest computed polymorph, kJ/mol of atoms: 0.00
E, eV/atom: -5.4342

***

[5]
The following is a DFT calculation (GGA-PBE) of a geometry-optimized TmHf3 structure.

Cell and atoms, written as CIF:
```
data_TmHf3
_chemical_formula_sum 'Tm1 Hf3'
_cell_length_a 4.5618
_cell_length_b 4.5618
_cell_length_c 4.5618
_cell_angle_alpha 90.00
_cell_angle_beta 90.00
_cell_angle_gamma 90.00
_symmetry_space_group_name_H-M 'P m -3 m'
_symmetry_Int_Tables_number 221
_symmetry_space_group_name_Hall '-P 4 2 3'
loop_
_atom_site_label
_atom_site_type_symbol
_atom_site_fract_x
_atom_site_fract_y
_atom_site_fract_z
_atom_site_occupancy
Tm1 Tm 0.0000 0.0000 0.0000 1
Hf1 Hf 0.0000 0.5000 0.5000 1
```

Output
M_tot, μB/f.u.: 0.00
Fermi-level density of states, states/eV/cell: 5.65
ΔE to the lowest computed polymorph, kJ/mol of atoms: 9.34
E, eV/atom: -8.4339
Energy of formation from the pure elements, meV/atom: 149

***

[6]
The following is a DFT calculation (GGA-PBE) of a geometry-optimized K2AlCrI structure.

Cell and atoms, written as CIF:
```
data_K2AlCrI
_chemical_formula_sum 'K2 Al1 Cr1 I1'
_cell_length_a 6.4781
_cell_length_b 6.4781
_cell_length_c 6.1475
_cell_angle_alpha 90.00
_cell_angle_beta 90.00
_cell_angle_gamma 90.00
_symmetry_space_group_name_H-M 'P 4/m m m'
_symmetry_Int_Tables_number 123
_symmetry_space_group_name_Hall '-P 4 2'
loop_
_atom_site_label
_atom_site_type_symbol
_atom_site_fract_x
_atom_site_fract_y
_atom_site_fract_z
_atom_site_occupancy
K1 K 0.0000 0.5000 0.0000 1
Al1 Al 0.0000 0.0000 0.5000 1
Cr1 Cr 0.5000 0.5000 0.5000 1
I1 I 0.0000 0.0000 0.0000 1
```

Output
M_tot, μB/f.u.: 4.98
Formation energy without anion corrections, meV per atom: 577
Fermi-level density of states, states/eV/cell: 4.25
E, eV/atom: -2.8455

***

[7]
The following is a DFT calculation (GGA-PBE) of a geometry-optimized BBrF3 structure.

Cell and atoms, written as CIF:
```
data_BBrF3
_chemical_formula_sum 'B1 Br1 F3'
_cell_length_a 3.8293
_cell_length_b 3.8293
_cell_length_c 3.8293
_cell_angle_alpha 90.00
_cell_angle_beta 90.00
_cell_angle_gamma 90.00
_symmetry_space_group_name_H-M 'P m -3 m'
_symmetry_Int_Tables_number 221
_symmetry_space_group_name_Hall '-P 4 2 3'
loop_
_atom_site_label
_atom_site_type_symbol
_atom_site_fract_x
_atom_site_fract_y
_atom_site_fract_z
_atom_site_occupancy
B1 B 0.0000 0.0000 0.0000 1
Br1 Br 0.5000 0.5000 0.5000 1
F1 F 0.0000 0.0000 0.5000 1
```

Output
M_tot, μB/f.u.: 1.45
Formation energy without anion corrections, meV per atom: -274
Fermi-level density of states, states/eV/cell: 3.20
ΔE to the lowest computed polymorph, kJ/mol of atoms: 0.00
E, eV/atom: -3.0667

***

[8]
The following is a DFT calculation (GGA-PBE) of a geometry-optimized Ba2AgIr structure.

Cell and atoms, written as CIF:
```
data_Ba2AgIr
_chemical_formula_sum 'Ba8 Ag4 Ir4'
_cell_length_a 7.8366
_cell_length_b 7.8366
_cell_length_c 7.8366
_cell_angle_alpha 90.00
_cell_angle_beta 90.00
_cell_angle_gamma 90.00
_symmetry_space_group_name_H-M 'F m -3 m'
_symmetry_Int_Tables_number 225
_symmetry_space_group_name_Hall '-F 4 2 3'
loop_
_atom_site_label
_atom_site_type_symbol
_atom_site_fract_x
_atom_site_fract_y
_atom_site_fract_z
_atom_site_occupancy
Ba1 Ba 0.2500 0.2500 0.2500 1
Ag1 Ag 0.0000 0.0000 0.0000 1
Ir1 Ir 0.0000 0.0000 0.5000 1
```

Output
M_tot, μB/f.u.: 0.00
Fermi-level density of states, states/eV/cell: 2.92
ΔE to the lowest computed polymorph, kJ/mol of atoms: 5.74
E, eV/atom: -3.9188
Energy of formation from the pure elements, meV/atom: -29

***

[9]
The following is a DFT calculation (GGA-PBE) of a geometry-optimized MnInSn2 structure.

Cell and atoms, written as CIF:
```
data_MnInSn2
_chemical_formula_sum 'Mn1 In1 Sn2'
_cell_length_a 3.2713
_cell_length_b 3.2713
_cell_length_c 8.7615
_cell_angle_alpha 90.00
_cell_angle_beta 90.00
_cell_angle_gamma 90.00
_symmetry_space_group_name_H-M 'P 4/m m m'
_symmetry_Int_Tables_number 123
_symmetry_space_group_name_Hall '-P 4 2'
loop_
_atom_site_label
_atom_site_type_symbol
_atom_site_fract_x
_atom_site_fract_y
_atom_site_fract_z
_atom_site_occupancy
Mn1 Mn 0.0000 0.0000 0.0000 1
In1 In 0.0000 0.0000 0.5000 1
Sn1 Sn 0.5000 0.5000 0.2031 1
```

Output
M_tot, μB/f.u.: 3.45
Fermi-level density of states, states/eV/cell: 2.72
E, eV/atom: -4.8479
Energy of formation from the pure elements, meV/atom: 131

***

[10]
The following is a DFT calculation (GGA-PBE) of a geometry-optimized BaAcSe2O6 structure.

Cell and atoms, written as CIF:
```
data_BaAcSe2O6
_chemical_formula_sum 'Ba3 Ac3 Se6 O18'
_cell_length_a 6.1068
_cell_length_b 6.1068
_cell_length_c 17.9694
_cell_angle_alpha 90.00
_cell_angle_beta 90.00
_cell_angle_gamma 120.00
_symmetry_space_group_name_H-M 'R -3'
_symmetry_Int_Tables_number 148
_symmetry_space_group_name_Hall '-R 3'
loop_
_atom_site_label
_atom_site_type_symbol
_atom_site_fract_x
_atom_site_fract_y
_atom_site_fract_z
_atom_site_occupancy
Ba1 Ba 0.0000 0.0000 0.0000 1
Ac1 Ac 0.0000 0.0000 0.5000 1
Se1 Se 0.0000 0.0000 0.2769 1
O1 O 0.0240 0.2959 0.2466 1
```

Output
M_tot, μB/f.u.: 0.85
Formation energy without anion corrections, meV per atom: -1733
Fermi-level density of states, states/eV/cell: 8.38
E, eV/atom: -6.0079

***

> Which of these has the highest Fermi-level density of states?

CeTmHg

***

> Number 8 is which compound?

Ba2AgIr

***

> What is the formula in the tenth record?

BaAcSe2O6

***

> Among the records above, which one has the highest Fermi-level density of states?

CeTmHg